# Cr2CdNi

Cr2CdNi after structural relaxation (PBEsol, Alexandria via LeMat-Bulk).

Cell lengths 3.884, 3.884, 4.560 Å; angles 115.20, 115.20, 90.00 degrees
Positions (direct):
Cr (0.000, 0.000, 0.000)
Cr (0.750, 0.250, 0.500)
Cd (0.250, 0.750, 0.500)
Ni (0.500, 0.500, 0.000)

Computed properties:
E_tot (eV for the cell shown): -26.29
Energy of formation from the pure elements (eV/atom): 0.387
ρ (g cm⁻³): 8.3
Crystal system: tetragonal
Density of states at the Fermi level (states/eV/cell): 2.72
Space group: I-4m2

***

# Zr2CoTc

Zr2CoTc after structural relaxation (PBEsol, Alexandria via LeMat-Bulk).

Cell lengths 3.156, 3.156, 7.988 Å; angles 78.61, 78.61, 60.00 degrees
Positions (direct):
Zr (0.753, 0.753, 0.740)
Zr (0.247, 0.247, 0.260)
Tc (0.000, 0.000, 0.000)
Co (0.500, 0.500, 0.500)

Computed properties:
E_tot (eV for the cell shown): -37.07
Energy of formation from the pure elements (eV/atom): 0.029
ρ (g cm⁻³): 8.4
Polymorph energy (0 for the lowest one) (meV per atom): 405
Crystal system: trigonal
Density of states at the Fermi level (states/eV/cell): 3.70
Space group: R-3m